[1]
Here is an optimized crystal structure of SrSm2Ag2Sn2 from Alexandria via LeMat-Bulk. Energies are from PBE-GGA.

Lattice parameters (Å, degrees): 4.9525 4.9525 28.0849 90.00 90.00 120.00
With the nearest neighbours (Å) after each atom.
Space group R-3m (No. 166, hexagonal axes)
One atom of each set of equivalent atoms:
Sr  0.0000  0.0000  0.0000 [3 per cell]  6 Sn 3.57, 2 Sm 3.82
Sm  0.0000  0.0000  0.1360 [6 per cell]  3 Ag 2.99, 3 Sn 3.31, 3 Sm 3.34
Ag  0.0000  0.0000  0.4378 [6 per cell]  3 Sn 2.97, 3 Sm 2.99
Sn  0.0000  0.0000  0.2570 [6 per cell]  3 Ag 2.97, 3 Sm 3.31

Properties
**Density of states at the Fermi level**: 6.291 states/eV per cell
**Mass density**: 7.0 g cm⁻³
**Formation enthalpy at 0 K**: -0.452 eV/atom
**VASP energy**: -84.0 eV for the cell shown
**Magnetization**: 0.00 μB/f.u.

=====

[2]
Here is an optimized crystal structure of CdSiP2O8 from Alexandria via LeMat-Bulk. Energies are from PBE-GGA.

Lattice parameters (Å, degrees): 7.7961 5.0682 6.9440 90.00 91.41 90.00
With the nearest neighbours (Å) after each atom.
Space group C2/m (No. 12)
One atom of each set of equivalent atoms:
Cd  0.0000  0.0000  0.0000 [2 per cell]  2 O 2.20
Si  0.0000  0.0000  0.5000 [2 per cell]  6 O 1.73-1.82
P  0.1532  0.5000  0.7112 [4 per cell]  4 O 1.52-1.57
O  0.0362  0.2485  0.6866 [8 per cell]  1 P 1.57
O  0.2165  0.0000  0.4503 [4 per cell]  1 P 1.53
O  0.2266  0.5000  0.9153 [4 per cell]  1 P 1.52

Properties
**Density of states at the Fermi level**: 0.000 states/eV per cell
**Mass density**: 4.0 g cm⁻³
**E_form (uncorrected)**: -2.136 eV per atom
**VASP energy**: -164.9 eV for the cell shown
**Magnetization**: 0.00 μB/f.u.

=====

[3]
Here is an optimized crystal structure of TlCuW2 from Alexandria via LeMat-Bulk. Energies are from PBE-GGA.

Lattice parameters (Å, degrees): 3.3115 4.3370 9.3026 90.00 90.00 90.00
With the nearest neighbours (Å) after each atom.
Space group Immm (No. 71)
One atom of each set of equivalent atoms:
Tl  0.0000  0.0000  0.0000 [2 per cell]  4 Cu 2.73, 4 W 2.92
Cu  0.0000  0.0000  0.5000 [2 per cell]  4 Tl 2.73, 4 W 2.80
W  0.0000  0.5000  0.2421 [4 per cell]  4 W 2.73, 2 Cu 2.80, 2 Tl 2.92

Properties
**Density of states at the Fermi level**: 4.431 states/eV per cell
**Mass density**: 15.8 g cm⁻³
**Formation enthalpy at 0 K**: 0.707 eV/atom
**VASP energy**: -59.1 eV for the cell shown
**Magnetization**: 0.00 μB/f.u.

=====

[4]
Here is an optimized crystal structure of Ba2WS5 from Alexandria via LeMat-Bulk. Energies are from PBE-GGA.

Lattice parameters (Å, degrees): 7.2123 7.2123 8.6586 90.00 90.00 90.00
With the nearest neighbours (Å) after each atom.
Space group I4mm (No. 107)
One atom of each set of equivalent atoms:
Ba  0.0000  0.5000  0.0000 [4 per cell]  10 S 3.31-3.64
W  0.0000  0.0000  0.1942 [2 per cell]  5 S 2.15-2.36
S  0.0000  0.0000  0.9456 [2 per cell]  1 W 2.15
S  0.2253  0.2253  0.2584 [8 per cell]  1 W 2.36

Properties
**Mass density**: 4.6 g cm⁻³
**E_form (uncorrected)**: -1.290 eV per atom
**VASP energy**: -95.5 eV for the cell shown
**Magnetization**: 0.00 μB/f.u.

=====

[5]
Here is an optimized crystal structure of KTaTeIr2 from Alexandria via LeMat-Bulk. Energies are from PBE-GGA.

Lattice parameters (Å, degrees): 4.7613 4.7613 4.8209 90.00 90.00 90.00
With the nearest neighbours (Å) after each atom.
Space group P4/mmm (No. 123)
One atom of each set of equivalent atoms:
K  0.0000  0.0000  0.0000 [1 per cell]  4 Ir 2.38, 2 Ta 2.41
Ta  0.0000  0.0000  0.5000 [1 per cell]  2 K 2.41
Te  0.5000  0.5000  0.5000 [1 per cell]  4 Ta 3.37, 8 Ir 3.39
Ir  0.0000  0.5000  0.0000 [2 per cell]  2 K 2.38

Properties
**Density of states at the Fermi level**: 6.563 states/eV per cell
**Mass density**: 11.1 g cm⁻³
**E_form (uncorrected)**: 2.861 eV per atom
**VASP energy**: -19.5 eV for the cell shown
**Magnetization**: 0.00 μB/f.u.

=====

[6]
Here is an optimized crystal structure of SbAu from Alexandria via LeMat-Bulk. Energies are from PBE-GGA.

Lattice parameters (Å, degrees): 4.2897 3.9543 5.6498 90.00 105.22 90.00
With the nearest neighbours (Å) after each atom.
Space group P2_1/m (No. 11)
One atom of each set of equivalent atoms:
Sb  0.1910  0.2500  0.2772 [2 per cell]  6 Au 2.84-2.97
Au  0.3265  0.2500  0.7961 [2 per cell]  6 Sb 2.84-2.97, 2 Au 3.10

Properties
**Density of states at the Fermi level**: 1.369 states/eV per cell
**Mass density**: 11.4 g cm⁻³
**E_form (uncorrected)**: -0.040 eV per atom
**VASP energy**: -15.0 eV for the cell shown
**Magnetization**: 0.00 μB/f.u.

=====

[7]
Here is an optimized crystal structure of Fe2SiSn from Alexandria via LeMat-Bulk. Energies are from PBE-GGA.

Lattice parameters (Å, degrees): 5.9090 5.9090 5.9090 90.00 90.00 90.00
With the nearest neighbours (Å) after each atom.
Space group Fm-3m (No. 225)
One atom of each set of equivalent atoms:
Fe  0.2500  0.2500  0.2500 [8 per cell]  4 Sn 2.56, 4 Si 2.56
Si  0.0000  0.0000  0.0000 [4 per cell]  8 Fe 2.56
Sn  0.0000  0.0000  0.5000 [4 per cell]  8 Fe 2.56

Properties
**Density of states at the Fermi level**: 1.099 states/eV per cell
**Mass density**: 8.3 g cm⁻³
**E_form (uncorrected)**: 0.097 eV per atom
**VASP energy**: -103.9 eV for the cell shown
**Magnetization**: 0.00 μB/f.u.

=====

[8]
Here is an optimized crystal structure of LaNd3Sn4 from Alexandria via LeMat-Bulk. Energies are from PBE-GGA.

Lattice parameters (Å, degrees): 3.6840 7.3197 18.6984 90.00 90.00 90.00
With the nearest neighbours (Å) after each atom.
Space group Immm (No. 71)
One atom of each set of equivalent atoms:
La  0.0000  0.0000  0.0000 [2 per cell]  4 Sn 3.25
Nd  0.0000  0.0000  0.5000 [2 per cell]  8 Sn 3.39, 2 Nd 3.68
Nd  0.0000  0.5000  0.2862 [4 per cell]  6 Sn 3.25-3.29
Sn  0.0000  0.2957  0.1297 [8 per cell]  1 Sn 2.99, 3 Nd 3.25-3.29, 1 La 3.25

Properties
**Density of states at the Fermi level**: 11.801 states/eV per cell
**Mass density**: 6.9 g cm⁻³
**Formation enthalpy at 0 K**: -0.574 eV/atom
**VASP energy**: -79.7 eV for the cell shown
**Magnetization**: 0.00 μB/f.u.

=====

[9]
Here is an optimized crystal structure of Cs2VAgS4 from Alexandria via LeMat-Bulk. Energies are from PBE-GGA.

Lattice parameters (Å, degrees): 5.8659 14.3424 24.7878 90.00 90.00 90.00
With the nearest neighbours (Å) after each atom.
Space group Fddd (No. 70, origin choice 2)
One atom of each set of equivalent atoms:
Cs  0.1250  0.1250  0.3031 [16 per cell]  6 S 3.54-3.84
V  0.1250  0.1250  0.1250 [8 per cell]  4 S 2.19
Ag  0.1250  0.1250  0.6250 [8 per cell]  4 S 2.53
S  0.0781  0.2840  0.4270 [32 per cell]  1 V 2.19

Properties
**Mass density**: 3.5 g cm⁻³
**E_form (uncorrected)**: -0.995 eV per atom
**VASP energy**: -305.2 eV for the cell shown
**Magnetization**: 0.00 μB/f.u.

=====

[10]
Here is an optimized crystal structure of K2CoSi from Alexandria via LeMat-Bulk. Energies are from PBE-GGA.

Lattice parameters (Å, degrees): 6.3680 6.3680 2.7750 90.00 90.00 90.00
With the nearest neighbours (Å) after each atom.
Space group P4/mmm (No. 123)
One atom of each set of equivalent atoms:
K  0.0000  0.5000  0.0000 [2 per cell]  2 K 2.77
Co  0.0000  0.0000  0.5000 [1 per cell]  2 Co 2.77
Si  0.5000  0.5000  0.5000 [1 per cell]  2 Si 2.77

Properties
**Density of states at the Fermi level**: 3.297 states/eV per cell
**Mass density**: 2.4 g cm⁻³
**E_form (uncorrected)**: 0.959 eV per atom
**VASP energy**: -10.9 eV for the cell shown
**Magnetization**: 1.89 μB/f.u.